DFT (PBE) results for crystalline TlPb2N at its relaxed geometry.

Lattice parameters (Å, degrees): 6.5106 6.5106 6.5106 110.13 110.13 108.16
With the nearest neighbours (Å) after each atom.
Sites, in units of the cell vectors:
1 Tl 0.0000 0.0000 0.0000  8 Pb 3.32-3.61
2 Tl 0.7500 0.2500 0.5000  8 Pb 3.32-3.61
3 Pb 0.2207 0.6250 0.0957  2 N 2.39
4 Pb 0.3750 0.4707 0.5957  2 N 2.39
5 Pb 0.5293 0.1250 0.9043  2 N 2.39
6 Pb 0.8750 0.7793 0.4043  2 N 2.39
7 N 0.2500 0.7500 0.5000  4 Pb 2.39
8 N 0.5000 0.5000 0.0000  4 Pb 2.39

Calculated values
DOS(E_F) (states/eV/f.u.): 1.96
Calculated density (kg/m³): 9896
Energy relative to the lowest polymorph listed for this composition (eV/f.u.): 0.00
Formation energy (no corrections) (meV per atom): 515
Space group: I-42d
Uncorrected energy (eV per atom): -4.0117
V (A^3/atom): 26.55
Magnetization (μB per formula unit): 0.000